1.
5
Lattice="5.108 0.000 0.000 0.000 5.738 0.000 0.000 0.000 5.108" Properties=species:S:1:pos:R:3 comment="BaTaZn2Co (GGA-PBE, relaxed)" crystal_system=tetragonal m_tot_mub_per_cell=2.31 total_energy_ev_per_cell=-15.874 e_form_ev_per_atom=1.51 pbc="T T T"
Zn 0.000 0.000 2.554
Zn 2.554 0.000 0.000
Co 2.554 2.869 2.554
Ba 0.000 2.869 0.000
Ta 0.000 0.000 0.000

---

2.
3
Lattice="4.151 0.000 0.000 0.000 4.151 0.000 -2.076 -2.076 4.668" Properties=species:S:1:pos:R:3 comment="CeNpSb (GGA-PBE, relaxed)" e_form_raw_kj_per_mol_atoms=-34 crystal_system=tetragonal m_tot_mub_per_cell=5.69 total_energy_ev_per_cell=-24.045 pbc="T T T"
Np 2.076 2.076 4.420
Sb 2.076 2.076 1.083
Ce 0.000 0.000 2.433

---

3.
6
Lattice="4.817 0.000 0.000 0.000 5.664 0.000 -2.408 0.000 9.197" Properties=species:S:1:pos:R:3 comment="CsGeP (GGA-PBE, relaxed)" polymorph_energy_mev_per_atom=244 crystal_system=orthorhombic m_tot_mub_per_cell=0.00 total_energy_ev_per_cell=-21.854 e_form_ev_per_atom=-0.02 pbc="T T T"
Cs 0.000 1.964 7.639
Cs 2.408 4.796 1.558
P 0.000 1.964 1.719
P 2.408 4.796 7.478
Ge 0.000 1.967 3.830
Ge 2.408 4.799 5.367